(1)
Entry from Alexandria via LeMat-Bulk: crystalline SrHf2ZrO at its relaxed geometry (PBE).

For the volume, the calculation gives 20.67 Å³/atom. Its density of states at the Fermi level is 3.01 states/eV per cell. As for the formation energy (no corrections): -3.5 eV per formula unit. Its energy is -38.59 eV/cell. The value obtained for the total moment is 0.000 μB per atom.

It has space group P4/mmm (No. 123), with a = 4.504 Å, b = 4.504 Å, c = 5.095 Å, α = 90.00°, β = 90.00° and γ = 90.00°. The distinct sites, in fractional coordinates, are Sr at (0.000, 0.000, 0.000), Hf at (0.000, 0.500, 0.500), Zr at (0.500, 0.500, 0.000) and O at (0.000, 0.000, 0.500).

---

(2)
Entry from Alexandria via LeMat-Bulk: crystalline Mo2OsRh at its relaxed geometry (PBE).

Its energy above the lowest structure with this stoichiometry is 0.010 eV/atom. For the volume, the calculation gives 14.97 Å³/atom. Its density of states at the Fermi level is 2.68 states/eV per cell. Its energy is -40.50 eV/cell. The value obtained for the total moment is 0.000 μB per atom.

It has space group P4/mmm (No. 123), with a = 3.932 Å, b = 3.932 Å, c = 3.872 Å, α = 90.00°, β = 90.00° and γ = 90.00°. The distinct sites, in fractional coordinates, are Mo at (0.000, 0.500, 0.000), Os at (0.000, 0.000, 0.500) and Rh at (0.500, 0.500, 0.500).

---

(3)
Entry from Alexandria via LeMat-Bulk: crystalline Li2PaIn2Se4 at its relaxed geometry (PBE).

For the volume, the calculation gives 26.24 Å³/atom. Its density of states at the Fermi level is 10.36 states/eV per cell. As for the formation energy (no corrections): -8.4 eV per formula unit. Its energy is -82.30 eV/cell. The value obtained for the total moment is 0.113 μB per atom.

It has space group C2/m (No. 12), with a = 15.488 Å, b = 4.271 Å, c = 7.679 Å, α = 90.00°, β = 111.58° and γ = 90.00°. The distinct sites, in fractional coordinates, are Li at (0.183, 0.000, 0.489), Pa at (0.000, 0.500, 0.500), In at (0.139, 0.500, 0.064), Se at (0.014, 0.000, 0.261) and Se at (0.199, 0.500, 0.683).

---

(4)
Entry from Alexandria via LeMat-Bulk: crystalline KAlIr at its relaxed geometry (PBE).

Its energy above the lowest structure with this stoichiometry is 1.867 eV/atom. For the volume, the calculation gives 25.88 Å³/atom. Its density of states at the Fermi level is 33.53 states/eV per cell. Its energy is -34.17 eV/cell. The value obtained for the total moment is 0.154 μB per atom.

It has space group F-43m (No. 216), with a = 6.772 Å, b = 6.772 Å, c = 6.772 Å, α = 90.00°, β = 90.00° and γ = 90.00°. The distinct sites, in fractional coordinates, are K at (0.000, 0.000, 0.000), Al at (0.250, 0.250, 0.250) and Ir at (0.250, 0.250, 0.750).

---

(5)
Entry from Alexandria via LeMat-Bulk: crystalline SmHfIn2 at its relaxed geometry (PBE).

For the volume, the calculation gives 25.34 Å³/atom. Its density of states at the Fermi level is 11.42 states/eV per cell. Its energy is -61.71 eV/cell. The value obtained for the total moment is 0.000 μB per atom.

It has space group R-3m (No. 166, hexagonal axes), with a = 3.3455 Å, b = 3.3455 Å, c = 31.3684 Å, α = 90.00°, β = 90.00° and γ = 120.00°. The distinct sites, in fractional coordinates, are Sm at (0.0000, 0.0000, 0.0000), Hf at (0.0000, 0.0000, 0.5000) and In at (0.0000, 0.0000, 0.2452).

---

(6)
Entry from Alexandria via LeMat-Bulk: crystalline Be2AlTc at its relaxed geometry (PBE).

For the volume, the calculation gives 12.38 Å³/atom. Its density of states at the Fermi level is 5.16 states/eV per cell. Its energy is -41.53 eV/cell. The value obtained for the total moment is 0.000 μB per atom.

It has space group Cmmm (No. 65), with a = 3.152 Å, b = 4.136 Å, c = 7.593 Å, α = 90.00°, β = 90.00° and γ = 90.00°. The distinct sites, in fractional coordinates, are Be at (0.000, 0.000, 0.236), Al at (0.000, 0.500, 0.500) and Tc at (0.000, 0.500, 0.000).

---

(7)
Entry from Alexandria via LeMat-Bulk: crystalline La3CeZn8 at its relaxed geometry (PBE).

Its energy above the lowest structure with this stoichiometry is 0.000 eV/atom. For the volume, the calculation gives 20.84 Å³/atom. Its density of states at the Fermi level is 23.92 states/eV per cell. Its energy is -103.96 eV/cell. The value obtained for the total moment is 0.025 μB per atom.

It has space group R3m (No. 160, hexagonal axes), with a = 5.6146 Å, b = 5.6146 Å, c = 27.4858 Å, α = 90.00°, β = 90.00° and γ = 120.00°. The distinct sites, in fractional coordinates, are La at (0.0000, 0.0000, 0.0000), La at (0.0000, 0.0000, 0.1261), La at (0.0000, 0.0000, 0.6242), Ce at (0.0000, 0.0000, 0.5004), Zn at (0.0000, 0.0000, 0.3127), Zn at (0.0000, 0.0000, 0.8128), Zn at (0.0009, 0.5005, 0.0636) and Zn at (0.1670, 0.3340, 0.8951).

---

(8)
Entry from Alexandria via LeMat-Bulk: crystalline Sc2SbTe at its relaxed geometry (PBE).

Its energy above the lowest structure with this stoichiometry is 0.280 eV/atom. For the volume, the calculation gives 24.22 Å³/atom. Its density of states at the Fermi level is 3.43 states/eV per cell. As for the formation energy (no corrections): -3.1 eV per formula unit. Its energy is -23.04 eV/cell. The value obtained for the total moment is 0.001 μB per atom.

It has space group P2/m (No. 10), with a = 3.589 Å, b = 3.749 Å, c = 7.312 Å, α = 90.00°, β = 100.01° and γ = 90.00°. The distinct sites, in fractional coordinates, are Sc at (0.037, 0.000, 0.252), Sb at (0.500, 0.500, 0.500) and Te at (0.500, 0.500, 0.000).

---

(9)
Entry from Alexandria via LeMat-Bulk: crystalline Y2BPd at its relaxed geometry (PBE).

For the volume, the calculation gives 22.54 Å³/atom. Its density of states at the Fermi level is 11.52 states/eV per cell. Its energy is -98.97 eV/cell. The value obtained for the total moment is 0.000 μB per atom.

It has space group I-42d (No. 122), with a = 7.089 Å, b = 7.089 Å, c = 7.176 Å, α = 90.00°, β = 90.00° and γ = 90.00°. The distinct sites, in fractional coordinates, are Y at (0.211, 0.750, 0.125), B at (0.000, 0.000, 0.000) and Pd at (0.000, 0.000, 0.500).

---

(10)
Entry from Alexandria via LeMat-Bulk: crystalline NdLuPuIn at its relaxed geometry (PBE).

For the volume, the calculation gives 28.72 Å³/atom. Its density of states at the Fermi level is 38.42 states/eV per cell. Its energy is -105.96 eV/cell. The value obtained for the total moment is 1.648 μB per atom.

It has space group F-43m (No. 216), with a = 7.717 Å, b = 7.717 Å, c = 7.717 Å, α = 90.00°, β = 90.00° and γ = 90.00°. The distinct sites, in fractional coordinates, are Nd at (0.000, 0.000, 0.000), Lu at (0.250, 0.250, 0.250), Pu at (0.000, 0.000, 0.500) and In at (0.250, 0.250, 0.750).

---

(11)
Entry from Alexandria via LeMat-Bulk: crystalline TlCdI3 at its relaxed geometry (PBE).

Its energy above the lowest structure with this stoichiometry is 0.000 eV/atom. For the volume, the calculation gives 47.70 Å³/atom. Its density of states at the Fermi level is 0.00 states/eV per cell. As for the formation energy (no corrections): -3.0 eV per formula unit. Its energy is -87.76 eV/cell. The value obtained for the total moment is 0.000 μB per atom.

It has space group C2/c (No. 15), with a = 16.184 Å, b = 14.321 Å, c = 8.481 Å, α = 90.00°, β = 103.93° and γ = 90.00°. The distinct sites, in fractional coordinates, are Tl at (0.000, 0.103, 0.250), Tl at (0.000, 0.295, 0.750), Cd at (0.209, 0.411, 0.255), I at (0.113, 0.095, 0.658), I at (0.137, 0.441, 0.534) and I at (0.143, 0.241, 0.118).

---

(12)
Entry from Alexandria via LeMat-Bulk: crystalline Np3Os at its relaxed geometry (PBE).

For the volume, the calculation gives 19.19 Å³/atom. Its density of states at the Fermi level is 9.79 states/eV per cell. Its energy is -49.07 eV/cell. The value obtained for the total moment is 0.625 μB per atom.

It has space group Pmm2 (No. 25), with a = 3.492 Å, b = 4.532 Å, c = 4.849 Å, α = 90.00°, β = 90.00° and γ = 90.00°. The distinct sites, in fractional coordinates, are Np at (0.000, 0.000, 0.000), Np at (0.000, 0.500, 0.473), Np at (0.500, 0.500, 0.110) and Os at (0.500, 0.000, 0.548).